Run P
A geometry-optimized TbPr7Sm3 structure. Source: Alexandria, functional GGA-PBE.

Cell lengths 19.506, 7.297, 12.749 Å; angles 90.00, 115.97, 90.00 degrees
Space group C2/c (No. 15)
One atom of each set of equivalent atoms:
Tb  0.000  0.000  0.000
Pr  0.000  0.213  0.250
Pr  0.158  0.495  0.774
Pr  0.167  0.247  0.028
Pr  0.168  0.248  0.529
Sm  0.000  0.500  0.000
Sm  0.169  0.001  0.274

Output
The size of the total moment is 0.00 μB/f.u. As for the density: 6.50 g/cm3.


Run Q
A geometry-optimized TbPr7Sm3 structure. Source: Alexandria, functional GGA-PBE.

Cell lengths 6.011, 11.498, 11.520 Å; angles 90.00, 90.00, 90.00 degrees
Space group Immm (No. 71)
One atom of each set of equivalent atoms:
Tb  0.000  0.000  0.000
Pr  0.000  0.000  0.290
Pr  0.000  0.293  0.196
Pr  0.000  0.500  0.500
Sm  0.000  0.207  0.500
Sm  0.000  0.500  0.000

Output
The size of the total moment is 0.00 μB/f.u. As for the density: 6.66 g/cm3.


Top of the stability list: run P, leading by 40 meV per atom.


Run P
A geometry-optimized Tb4PrSm7 structure. Source: Alexandria, functional GGA-PBE.

Cell lengths 16.154, 5.991, 9.417 Å; angles 90.00, 116.28, 90.00 degrees
Space group C2/m (No. 12)
One atom of each set of equivalent atoms:
Tb  0.073  0.000  0.198
Tb  0.171  0.000  0.886
Pr  0.000  0.500  0.500
Sm  0.000  0.000  0.500
Sm  0.084  0.500  0.948
Sm  0.211  0.500  0.735
Sm  0.215  0.500  0.382

Output
The size of the total moment is 0.00 μB/f.u. As for the density: 7.43 g/cm3.


Run Q
A geometry-optimized Tb4PrSm7 structure. Source: Alexandria, functional GGA-PBE.

Cell lengths 6.305, 7.285, 8.982 Å; angles 90.02, 103.52, 90.00 degrees
Space group P-1 (No. 2)
One atom of each set of equivalent atoms:
Tb  0.220  0.000  0.166
Tb  0.279  0.752  0.834
Pr  0.000  0.500  0.500
Sm  0.000  0.000  0.500
Sm  0.223  0.500  0.166
Sm  0.279  0.248  0.835
Sm  0.500  0.248  0.499

Output
The size of the total moment is 0.00 μB/f.u. As for the density: 7.57 g/cm3.


Top of the stability list: run Q, leading by 206 meV per atom.